VASP calculation (GGA-PBE) on an optimized crystal structure of HoCdGe2Pt5.

Summary:
The formation energy is -14.1 kcal/mol of atoms.

Geometry as CIF:
```
data_HoCdGe2Pt5
_chemical_formula_sum 'Ho1 Cd1 Ge2 Pt5'
_space_group_name_H-M_alt 'P 4/m m m'
_space_group_IT_number 123
_space_group_name_Hall '-P 4 2'
_cell_length_a 4.196
_cell_length_b 4.196
_cell_length_c 8.990
_cell_angle_alpha 90.00
_cell_angle_beta 90.00
_cell_angle_gamma 90.00
loop_
_atom_site_label
_atom_site_type_symbol
_atom_site_fract_x
_atom_site_fract_y
_atom_site_fract_z
Ho1 Ho 0.000 0.000 0.000
Cd1 Cd 0.000 0.000 0.500
Ge1 Ge 0.500 0.500 0.134
Pt1 Pt 0.000 0.500 0.276
Pt2 Pt 0.500 0.500 0.500
```

***

VASP calculation (GGA-PBE) on an optimized crystal structure of BaSrB3.

Summary:
The formation energy is 47.5 kcal/mol of atoms. The calculation puts the energy above the most stable polymorph in this dataset at 0.52 eV/f.u.

Geometry as CIF:
```
data_BaSrB3
_chemical_formula_sum 'Ba1 Sr1 B3'
_space_group_name_H-M_alt 'P m -3 m'
_space_group_IT_number 221
_space_group_name_Hall '-P 4 2 3'
_cell_length_a 4.984
_cell_length_b 4.984
_cell_length_c 4.984
_cell_angle_alpha 90.00
_cell_angle_beta 90.00
_cell_angle_gamma 90.00
loop_
_atom_site_label
_atom_site_type_symbol
_atom_site_fract_x
_atom_site_fract_y
_atom_site_fract_z
Ba1 Ba 0.000 0.000 0.000
Sr1 Sr 0.500 0.500 0.500
B1 B 0.000 0.000 0.500
```

***

VASP calculation (GGA-PBE) on an optimized crystal structure of NaPaInBr6.

Summary:
The formation energy from raw total energies comes out at -1.3288 eV per atom.

Geometry as CIF:
```
data_NaPaInBr6
_chemical_formula_sum 'Na2 Pa2 In2 Br12'
_space_group_name_H-M_alt 'P -3 1 c'
_space_group_IT_number 163
_space_group_name_Hall '-P 3 2c'
_cell_length_a 7.5740
_cell_length_b 7.5740
_cell_length_c 14.1234
_cell_angle_alpha 90.00
_cell_angle_beta 90.00
_cell_angle_gamma 120.00
loop_
_atom_site_label
_atom_site_type_symbol
_atom_site_fract_x
_atom_site_fract_y
_atom_site_fract_z
Na1 Na 0.3333 0.6667 0.2500
Pa1 Pa 0.3333 0.6667 0.7500
In1 In 0.0000 0.0000 0.0000
Br1 Br 0.0200 0.3720 0.6349
```

***

VASP calculation (GGA-PBE) on an optimized crystal structure of Mo5Ir4Ru2.

Summary:
The formation energy is 3.0 kcal/mol of atoms.

Geometry as CIF:
```
data_Mo5Ir4Ru2
_chemical_formula_sum 'Mo10 Ir8 Ru4'
_space_group_name_H-M_alt 'P b a m'
_space_group_IT_number 55
_space_group_name_Hall '-P 2 2ab'
_cell_length_a 5.377
_cell_length_b 15.363
_cell_length_c 4.154
_cell_angle_alpha 90.00
_cell_angle_beta 90.00
_cell_angle_gamma 90.00
loop_
_atom_site_label
_atom_site_type_symbol
_atom_site_fract_x
_atom_site_fract_y
_atom_site_fract_z
Mo1 Mo 0.000 0.000 0.000
Mo2 Mo 0.067 0.413 0.000
Mo3 Mo 0.154 0.240 0.000
Ir1 Ir 0.089 0.858 0.500
Ir2 Ir 0.229 0.520 0.500
Ru1 Ru 0.088 0.684 0.500
```

***

VASP calculation (GGA-PBE) on an optimized crystal structure of K2TcMo.

Summary:
The formation energy is 19.9 kcal/mol of atoms. The calculation puts the energy above the most stable polymorph in this dataset at 0.32 eV/f.u.

Geometry as CIF:
```
data_K2TcMo
_chemical_formula_sum 'K4 Tc2 Mo2'
_space_group_name_H-M_alt 'C 1 m 1'
_space_group_IT_number 8
_space_group_name_Hall 'C -2y'
_cell_length_a 6.753
_cell_length_b 3.248
_cell_length_c 11.396
_cell_angle_alpha 90.00
_cell_angle_beta 94.43
_cell_angle_gamma 90.00
loop_
_atom_site_label
_atom_site_type_symbol
_atom_site_fract_x
_atom_site_fract_y
_atom_site_fract_z
K1 K 0.000 0.000 0.000
K2 K 0.242 0.000 0.625
Tc1 Tc 0.256 0.500 0.248
Mo1 Mo 0.480 0.000 0.358
```

***

VASP calculation (GGA-PBE) on an optimized crystal structure of Y2AlH2.

Summary:
The total DFT energy (no corrections) is -5.28 eV/atom.

Geometry as CIF:
```
data_Y2AlH2
_chemical_formula_sum 'Y4 Al2 H4'
_space_group_name_H-M_alt 'I 4/m m m'
_space_group_IT_number 139
_space_group_name_Hall '-I 4 2'
_cell_length_a 3.612
_cell_length_b 3.612
_cell_length_c 12.709
_cell_angle_alpha 90.00
_cell_angle_beta 90.00
_cell_angle_gamma 90.00
loop_
_atom_site_label
_atom_site_type_symbol
_atom_site_fract_x
_atom_site_fract_y
_atom_site_fract_z
Y1 Y 0.000 0.000 0.147
Al1 Al 0.000 0.000 0.500
H1 H 0.000 0.500 0.250
```

***

VASP calculation (GGA-PBE) on an optimized crystal structure of ReSe4.

Summary:
The calculation puts the energy above the most stable polymorph in this dataset at 3.43 eV/f.u. The formation energy from raw total energies comes out at 0.9031 eV per atom.

Geometry as CIF:
```
data_ReSe4
_chemical_formula_sum 'Re2 Se8'
_space_group_name_H-M_alt 'I 4/m m m'
_space_group_IT_number 139
_space_group_name_Hall '-I 4 2'
_cell_length_a 5.543
_cell_length_b 5.543
_cell_length_c 8.272
_cell_angle_alpha 90.00
_cell_angle_beta 90.00
_cell_angle_gamma 90.00
loop_
_atom_site_label
_atom_site_type_symbol
_atom_site_fract_x
_atom_site_fract_y
_atom_site_fract_z
Re1 Re 0.000 0.000 0.000
Se1 Se 0.000 0.000 0.295
Se2 Se 0.000 0.500 0.250
```

***

VASP calculation (GGA-PBE) on an optimized crystal structure of ReOsRu.

Summary:
The formation energy is 2.0 kcal/mol of atoms. The calculation puts the energy above the most stable polymorph in this dataset at 0.06 eV/f.u.

Geometry as CIF:
```
data_ReOsRu
_chemical_formula_sum 'Re1 Os1 Ru1'
_space_group_name_H-M_alt 'P 3 m 1'
_space_group_IT_number 156
_space_group_name_Hall 'P 3 -2"'
_cell_length_a 2.7364
_cell_length_b 2.7364
_cell_length_c 6.6803
_cell_angle_alpha 90.00
_cell_angle_beta 90.00
_cell_angle_gamma 120.00
loop_
_atom_site_label
_atom_site_type_symbol
_atom_site_fract_x
_atom_site_fract_y
_atom_site_fract_z
Re1 Re 0.0000 0.0000 0.0000
Os1 Os 0.6667 0.3333 0.6686
Ru1 Ru 0.3333 0.6667 0.3324
```

***

VASP calculation (GGA-PBE) on an optimized crystal structure of MnTc3C.

Summary:
The formation energy is 56.9 kcal/mol of atoms. The calculation puts the energy above the most stable polymorph in this dataset at 10.84 eV/f.u.

Geometry as CIF:
```
data_MnTc3C
_chemical_formula_sum 'Mn1 Tc3 C1'
_space_group_name_H-M_alt 'P m -3 m'
_space_group_IT_number 221
_space_group_name_Hall '-P 4 2 3'
_cell_length_a 4.377
_cell_length_b 4.377
_cell_length_c 4.377
_cell_angle_alpha 90.00
_cell_angle_beta 90.00
_cell_angle_gamma 90.00
loop_
_atom_site_label
_atom_site_type_symbol
_atom_site_fract_x
_atom_site_fract_y
_atom_site_fract_z
Mn1 Mn 0.000 0.000 0.000
Tc1 Tc 0.000 0.000 0.500
C1 C 0.500 0.500 0.500
```

***

VASP calculation (GGA-PBE) on an optimized crystal structure of Cr2OsAu.

Summary:
The formation energy is 7.6 kcal/mol of atoms.

Geometry as CIF:
```
data_Cr2OsAu
_chemical_formula_sum 'Cr4 Os2 Au2'
_space_group_name_H-M_alt 'C m m m'
_space_group_IT_number 65
_space_group_name_Hall '-C 2 2'
_cell_length_a 5.402
_cell_length_b 7.449
_cell_length_c 2.758
_cell_angle_alpha 90.00
_cell_angle_beta 90.00
_cell_angle_gamma 90.00
loop_
_atom_site_label
_atom_site_type_symbol
_atom_site_fract_x
_atom_site_fract_y
_atom_site_fract_z
Cr1 Cr 0.250 0.250 0.000
Os1 Os 0.000 0.000 0.500
Au1 Au 0.000 0.500 0.500
```

***

VASP calculation (GGA-PBE) on an optimized crystal structure of PmZrPtAu.

Summary:
The formation energy is -16.3 kcal/mol of atoms.

Geometry as CIF:
```
data_PmZrPtAu
_chemical_formula_sum 'Pm4 Zr4 Pt4 Au4'
_space_group_name_H-M_alt 'F -4 3 m'
_space_group_IT_number 216
_space_group_name_Hall 'F -4 2 3'
_cell_length_a 7.031
_cell_length_b 7.031
_cell_length_c 7.031
_cell_angle_alpha 90.00
_cell_angle_beta 90.00
_cell_angle_gamma 90.00
loop_
_atom_site_label
_atom_site_type_symbol
_atom_site_fract_x
_atom_site_fract_y
_atom_site_fract_z
Pm1 Pm 0.000 0.000 0.000
Zr1 Zr 0.000 0.000 0.500
Pt1 Pt 0.250 0.250 0.750
Au1 Au 0.250 0.250 0.250
```

***

VASP calculation (GGA-PBE) on an optimized crystal structure of V3GaFe3.

Summary:
The formation energy is -0.9 kcal/mol of atoms.

Geometry as CIF:
```
data_V3GaFe3
_chemical_formula_sum 'V12 Ga4 Fe12'
_space_group_name_H-M_alt 'C m m m'
_space_group_IT_number 65
_space_group_name_Hall '-C 2 2'
_cell_length_a 7.874
_cell_length_b 8.143
_cell_length_c 5.532
_cell_angle_alpha 90.00
_cell_angle_beta 90.00
_cell_angle_gamma 90.00
loop_
_atom_site_label
_atom_site_type_symbol
_atom_site_fract_x
_atom_site_fract_y
_atom_site_fract_z
V1 V 0.000 0.246 0.000
V2 V 0.000 0.248 0.500
V3 V 0.227 0.000 0.000
Ga1 Ga 0.229 0.000 0.500
Fe1 Fe 0.000 0.500 0.241
Fe2 Fe 0.250 0.250 0.244
```

***

VASP calculation (GGA-PBE) on an optimized crystal structure of Mn2TlRh.

Summary:
The formation energy is 4.8 kcal/mol of atoms. The calculation puts the energy above the most stable polymorph in this dataset at 0.13 eV/f.u.

Geometry as CIF:
```
data_Mn2TlRh
_chemical_formula_sum 'Mn4 Tl2 Rh2'
_space_group_name_H-M_alt 'I m m 2'
_space_group_IT_number 44
_space_group_name_Hall 'I 2 -2'
_cell_length_a 4.052
_cell_length_b 4.091
_cell_length_c 7.923
_cell_angle_alpha 90.00
_cell_angle_beta 90.00
_cell_angle_gamma 90.00
loop_
_atom_site_label
_atom_site_type_symbol
_atom_site_fract_x
_atom_site_fract_y
_atom_site_fract_z
Mn1 Mn 0.000 0.000 0.000
Mn2 Mn 0.000 0.500 0.250
Tl1 Tl 0.000 0.000 0.499
Rh1 Rh 0.000 0.500 0.748
```

***

VASP calculation (GGA-PBE) on an optimized crystal structure of Co3Mo.

Summary:
The formation energy is 4.3 kcal/mol of atoms.

Geometry as CIF:
```
data_Co3Mo
_chemical_formula_sum 'Co3 Mo1'
_space_group_name_H-M_alt 'P 1 2/m 1'
_space_group_IT_number 10
_space_group_name_Hall '-P 2y'
_cell_length_a 2.534
_cell_length_b 4.063
_cell_length_c 4.806
_cell_angle_alpha 90.00
_cell_angle_beta 100.58
_cell_angle_gamma 90.00
loop_
_atom_site_label
_atom_site_type_symbol
_atom_site_fract_x
_atom_site_fract_y
_atom_site_fract_z
Co1 Co 0.000 0.000 0.000
Co2 Co 0.174 0.500 0.768
Mo1 Mo 0.500 0.000 0.500
```

***

VASP calculation (GGA-PBE) on an optimized crystal structure of YZn2Rh.

Summary:
The formation energy is -5.8 kcal/mol of atoms.

Geometry as CIF:
```
data_YZn2Rh
_chemical_formula_sum 'Y4 Zn8 Rh4'
_space_group_name_H-M_alt 'I -4 2 d'
_space_group_IT_number 122
_space_group_name_Hall 'I -4 2bw'
_cell_length_a 4.017
_cell_length_b 4.017
_cell_length_c 19.472
_cell_angle_alpha 90.00
_cell_angle_beta 90.00
_cell_angle_gamma 90.00
loop_
_atom_site_label
_atom_site_type_symbol
_atom_site_fract_x
_atom_site_fract_y
_atom_site_fract_z
Y1 Y 0.000 0.000 0.000
Zn1 Zn 0.177 0.250 0.625
Rh1 Rh 0.000 0.000 0.500
```

***

VASP calculation (GGA-PBE) on an optimized crystal structure of MoOsPd2.

Summary:
The formation energy is 12.5 kcal/mol of atoms. The calculation puts the energy above the most stable polymorph in this dataset at 0.00 eV/f.u.

Geometry as CIF:
```
data_MoOsPd2
_chemical_formula_sum 'Mo4 Os4 Pd8'
_space_group_name_H-M_alt 'F m -3 m'
_space_group_IT_number 225
_space_group_name_Hall '-F 4 2 3'
_cell_length_a 6.257
_cell_length_b 6.257
_cell_length_c 6.257
_cell_angle_alpha 90.00
_cell_angle_beta 90.00
_cell_angle_gamma 90.00
loop_
_atom_site_label
_atom_site_type_symbol
_atom_site_fract_x
_atom_site_fract_y
_atom_site_fract_z
Mo1 Mo 0.000 0.000 0.000
Os1 Os 0.000 0.000 0.500
Pd1 Pd 0.250 0.250 0.250
```

***

VASP calculation (GGA-PBE) on an optimized crystal structure of Y2CuOs.

Summary:
The formation energy is 4.0 kcal/mol of atoms.

Geometry as CIF:
```
data_Y2CuOs
_chemical_formula_sum 'Y6 Cu3 Os3'
_space_group_name_H-M_alt 'R -3 m'
_space_group_IT_number 166
_space_group_name_Hall '-R 3 2"'
_cell_length_a 3.6835
_cell_length_b 3.6835
_cell_length_c 23.4455
_cell_angle_alpha 90.00
_cell_angle_beta 90.00
_cell_angle_gamma 120.00
loop_
_atom_site_label
_atom_site_type_symbol
_atom_site_fract_x
_atom_site_fract_y
_atom_site_fract_z
Y1 Y 0.0000 0.0000 0.2461
Cu1 Cu 0.0000 0.0000 0.0000
Os1 Os 0.0000 0.0000 0.5000
```

***

VASP calculation (GGA-PBE) on an optimized crystal structure of Cu4Pd7Pb.

Summary:
The formation energy is 3.2 kcal/mol of atoms.

Geometry as CIF:
```
data_Cu4Pd7Pb
_chemical_formula_sum 'Cu8 Pd14 Pb2'
_space_group_name_H-M_alt 'C 1 2/m 1'
_space_group_IT_number 12
_space_group_name_Hall '-C 2y'
_cell_length_a 10.242
_cell_length_b 4.933
_cell_length_c 9.285
_cell_angle_alpha 90.00
_cell_angle_beta 121.73
_cell_angle_gamma 90.00
loop_
_atom_site_label
_atom_site_type_symbol
_atom_site_fract_x
_atom_site_fract_y
_atom_site_fract_z
Cu1 Cu 0.064 0.000 0.263
Cu2 Cu 0.222 0.000 0.818
Pd1 Pd 0.000 0.000 0.500
Pd2 Pd 0.043 0.500 0.882
Pd3 Pd 0.160 0.000 0.058
Pd4 Pd 0.212 0.500 0.418
Pb1 Pb 0.000 0.500 0.500
```

***

VASP calculation (GGA-PBE) on an optimized crystal structure of NaTb4Sm3Se8.

Summary:
The formation energy from raw total energies comes out at -1.7704 eV per atom.

Geometry as CIF:
```
data_NaTb4Sm3Se8
_chemical_formula_sum 'Na3 Tb12 Sm9 Se24'
_space_group_name_H-M_alt 'R -3 m'
_space_group_IT_number 166
_space_group_name_Hall '-R 3 2"'
_cell_length_a 8.2676
_cell_length_b 8.2676
_cell_length_c 20.2769
_cell_angle_alpha 90.00
_cell_angle_beta 90.00
_cell_angle_gamma 120.00
loop_
_atom_site_label
_atom_site_type_symbol
_atom_site_fract_x
_atom_site_fract_y
_atom_site_fract_z
Na1 Na 0.0000 0.0000 0.0000
Tb1 Tb 0.0000 0.0000 0.5000
Tb2 Tb 0.0000 0.5000 0.5000
Sm1 Sm 0.0000 0.5000 0.0000
Se1 Se 0.0000 0.0000 0.2477
Se2 Se 0.0029 0.5015 0.7516
```

***

VASP calculation (GGA-PBE) on an optimized crystal structure of Er6In3Te.

Summary:
The formation energy from raw total energies comes out at -0.3439 eV per atom.

Geometry as CIF:
```
data_Er6In3Te
_chemical_formula_sum 'Er24 In12 Te4'
_space_group_name_H-M_alt 'C m c 21'
_space_group_IT_number 36
_space_group_name_Hall 'C 2c -2'
_cell_length_a 11.138
_cell_length_b 13.970
_cell_length_c 7.528
_cell_angle_alpha 90.00
_cell_angle_beta 90.00
_cell_angle_gamma 90.00
loop_
_atom_site_label
_atom_site_type_symbol
_atom_site_fract_x
_atom_site_fract_y
_atom_site_fract_z
Er1 Er 0.000 0.016 0.000
Er2 Er 0.000 0.294 0.066
Er3 Er 0.167 0.306 0.525
Er4 Er 0.230 0.448 0.151
In1 In 0.000 0.487 0.397
In2 In 0.144 0.134 0.284
Te1 Te 0.000 0.171 0.731
```